# LiFeClO

LiFeClO after structural relaxation (PBE with a Hubbard U, the Alexandria database).

The structure in POSCAR format:
```
LiFeClO
1.0
-2.307 2.225 0.472
-2.537 0.153 -2.008
-4.475 -2.879 2.822
Fe O Li Cl
1 1 1 1
Direct
0.585 0.585 0.244
0.859 0.859 0.424
0.131 0.131 0.607
0.354 0.354 0.937
```

Calculated values
Energy ... -4.810 eV/atom
DOS at the Fermi energy ... 0.80 states/eV per atom
Space group ... No. 160


# LiFe2ClO

LiFe2ClO after structural relaxation (PBE with a Hubbard U, the Alexandria database).

The structure in POSCAR format:
```
LiFe2ClO
1.0
4.484 0.000 0.000
0.000 4.182 0.000
0.000 0.000 4.484
Fe O Cl Li
2 1 1 1
Direct
0.500 0.000 0.000
0.000 0.000 0.500
0.500 0.500 0.500
0.000 0.000 0.000
0.000 0.500 0.000
```

Calculated values
Energy ... -3.550 eV/atom
DOS at the Fermi energy ... 0.21 states/eV per atom
Space group ... No. 123


# LiFe2Cl2O2

LiFe2Cl2O2 after structural relaxation (PBE with a Hubbard U, the Alexandria database).

The structure in POSCAR format:
```
LiFe2Cl2O2
1.0
3.438 0.000 0.000
0.000 3.990 0.000
0.000 0.000 8.418
Cl Fe O Li
2 2 2 1
Direct
0.500 0.500 0.652
0.000 0.000 0.306
0.000 0.500 0.886
0.500 0.000 0.066
0.500 0.500 0.049
0.000 0.000 0.942
0.000 0.500 0.459
```

Calculated values
Energy ... -5.205 eV/atom
Space group ... No. 25